DFT (SCAN) results for a crystal of Li2ZrBe relaxed with PBEsol.

Summary:
- Theoretical density: 2.906 g/cm³
- Formation energy: 247.2 meV/atom

a b c (Å): 2.6789 4.6929 10.3751
angles (deg): 90.00 90.00 90.00
Last column: nearest neighbours and their distance in Å.
Space group Immm (No. 71)
One atom of each set of equivalent atoms:
Li  0.0000  0.0000  0.2080 (multiplicity 4)  2 Be 2.54, 6 Li 2.68-2.84
Zr  0.0000  0.5000  0.0000 (multiplicity 2)  2 Zr 2.68, 4 Be 2.70
Be  0.0000  0.5000  0.5000 (multiplicity 2)  4 Li 2.54, 2 Be 2.68, 4 Zr 2.70